VASP calculation (PBE-GGA) on a relaxed Tb3In2Au crystal.

```
Tb3In2Au
1.0
3.5714 0.0000 0.0000
0.0000 3.5714 0.0000
0.0000 0.0000 12.1644
Tb In Au
3 2 1
Cartesian
0.0000 0.0000 0.0000
0.0000 0.0000 7.8972
0.0000 0.0000 4.2672
1.7857 1.7857 10.0383
1.7857 1.7857 2.1261
1.7857 1.7857 6.0822
```

Output
* total energy: -4.3787 eV/atom
* calculated volume: 25.86 Å³ per atom
* magnetic moment: 0.00 μB per atom